Computed, not measured: a geometry-optimized BeZn2In structure at the PBE-GGA level of DFT.

```
4
Lattice="0.000 3.230 3.230 3.230 0.000 3.230 3.230 3.230 0.000" Properties=species:S:1:pos:R:3 pbc="T T T"
Be 0.000 0.000 0.000
Zn 1.615 1.615 1.615
Zn 4.845 4.845 4.845
In 3.230 3.230 3.230
```

Output
- VASP energy (eV per atom) = -1.80
- formation enthalpy at 0 K (eV per atom) = 0.4576
- magnetic moment (μB per formula unit) = 0.0
- N(E_F) (states/eV/cell) = 1.98
- V (Å³ per atom) = 16.853



Computed, not measured: a geometry-optimized BeZn2In structure at the PBE-GGA level of DFT.

```
4
Lattice="2.712 0.000 0.000 0.000 3.712 0.000 0.000 0.000 6.543" Properties=species:S:1:pos:R:3 pbc="T T T"
Be 0.000 0.000 0.000
Zn 0.000 0.000 3.971
Zn 1.356 1.856 5.530
In 1.356 1.856 1.894
```

Output
- VASP energy (eV per atom) = -1.96
- formation enthalpy at 0 K (eV per atom) = 0.2921
- magnetic moment (μB per formula unit) = 0.0
- N(E_F) (states/eV/cell) = 1.22
- V (Å³ per atom) = 16.462



Computed, not measured: a geometry-optimized Be2ZnIn structure at the PBE-GGA level of DFT.

```
4
Lattice="0.000 3.063 3.063 3.063 0.000 3.063 3.063 3.063 0.000" Properties=species:S:1:pos:R:3 pbc="T T T"
Be 1.531 1.531 1.531
Be 4.594 4.594 4.594
Zn 0.000 0.000 0.000
In 3.063 3.063 3.063
```

Output
- VASP energy (eV per atom) = -2.31
- formation enthalpy at 0 K (eV per atom) = 0.5591
- magnetic moment (μB per formula unit) = 0.0
- N(E_F) (states/eV/cell) = 1.93
- V (Å³ per atom) = 14.366



Computed, not measured: a geometry-optimized Be2ZnIn structure at the PBE-GGA level of DFT.

```
4
Lattice="3.215 0.000 0.000 0.000 3.669 0.000 0.000 0.000 4.976" Properties=species:S:1:pos:R:3 pbc="T T T"
Be 0.000 0.000 0.000
Be 1.608 1.835 1.206
Zn 1.608 1.835 3.924
In 0.000 0.000 2.437
```

Output
- VASP energy (eV per atom) = -2.43
- formation enthalpy at 0 K (eV per atom) = 0.4402
- magnetic moment (μB per formula unit) = 0.0
- N(E_F) (states/eV/cell) = 0.90
- V (Å³ per atom) = 14.676



Computed, not measured: a geometry-optimized Be2ZnIn structure at the PBE-GGA level of DFT.

```
4
Lattice="0.000 3.098 3.098 3.098 0.000 3.098 3.098 3.098 0.000" Properties=species:S:1:pos:R:3 pbc="T T T"
Be 0.000 0.000 0.000
Be 1.549 1.549 1.549
Zn 3.098 3.098 3.098
In 4.646 4.646 4.646
```

Output
- VASP energy (eV per atom) = -2.25
- formation enthalpy at 0 K (eV per atom) = 0.6209
- magnetic moment (μB per formula unit) = 0.0
- N(E_F) (states/eV/cell) = 1.87
- V (Å³ per atom) = 14.861



Computed, not measured: a geometry-optimized Be2Zn2In structure at the PBE-GGA level of DFT.

```
10
Lattice="7.198 0.000 0.000 0.000 7.198 0.000 0.000 0.000 2.822" Properties=species:S:1:pos:R:3 pbc="T T T"
Be 0.795 2.804 0.000
Be 2.804 6.403 0.000
Be 4.394 0.795 0.000
Be 6.403 4.394 0.000
Zn 1.283 4.882 1.411
Zn 2.316 1.283 1.411
Zn 4.882 5.915 1.411
Zn 5.915 2.316 1.411
In 0.000 0.000 0.000
In 3.599 3.599 0.000
```

Output
- VASP energy (eV per atom) = -2.20
- formation enthalpy at 0 K (eV per atom) = 0.3459
- magnetic moment (μB per formula unit) = 0.0
- N(E_F) (states/eV/cell) = 3.60
- V (Å³ per atom) = 14.621



Computed, not measured: a geometry-optimized Be2ZnIn structure at the PBE-GGA level of DFT.

```
4
Lattice="1.475 0.852 7.910 -1.475 0.852 7.910 0.000 -1.703 7.910" Properties=species:S:1:pos:R:3 pbc="T T T"
Be 0.000 0.000 5.731
Be 0.000 0.000 17.999
Zn 0.000 0.000 11.865
In 0.000 0.000 0.000
```

Output
- VASP energy (eV per atom) = -2.36
- formation enthalpy at 0 K (eV per atom) = 0.5066
- magnetic moment (μB per formula unit) = 0.0
- N(E_F) (states/eV/cell) = 0.57
- V (Å³ per atom) = 14.903



Computed, not measured: a geometry-optimized BeZn2In structure at the PBE-GGA level of DFT.

```
8
Lattice="-3.775 3.775 2.511 3.775 -3.775 2.511 3.775 3.775 -2.511" Properties=species:S:1:pos:R:3 pbc="T T T"
Be 0.000 0.000 0.000
Be 0.000 3.775 1.255
Zn 1.888 1.337 -0.628
Zn 2.438 -1.888 3.139
Zn 1.888 2.438 1.883
Zn 1.337 5.663 0.628
In 3.775 0.000 1.255
In 0.000 0.000 2.511
```

Output
- VASP energy (eV per atom) = -1.89
- formation enthalpy at 0 K (eV per atom) = 0.3643
- magnetic moment (μB per formula unit) = 0.0
- N(E_F) (states/eV/cell) = 3.59
- V (Å³ per atom) = 17.891



Computed, not measured: a geometry-optimized BeZn2In structure at the PBE-GGA level of DFT.

```
4
Lattice="4.151 -1.428 0.000 4.151 1.428 0.000 -2.068 0.000 5.859" Properties=species:S:1:pos:R:3 pbc="T T T"
Be 0.000 0.000 0.000
Zn 3.619 0.000 1.899
Zn 5.985 0.000 0.392
In 1.365 0.000 3.707
```

Output
- VASP energy (eV per atom) = -2.02
- formation enthalpy at 0 K (eV per atom) = 0.2372
- magnetic moment (μB per formula unit) = 0.0
- N(E_F) (states/eV/cell) = 0.78
- V (Å³ per atom) = 17.365



Computed, not measured: a geometry-optimized Be2ZnIn structure at the PBE-GGA level of DFT.

```
4
Lattice="-1.873 1.961 3.973 1.873 -1.961 3.973 1.873 1.961 -3.973" Properties=species:S:1:pos:R:3 pbc="T T T"
Be 0.000 0.000 0.000
Be 0.000 1.961 2.446
Zn 0.000 0.000 4.123
In 1.873 0.000 2.080
```

Output
- VASP energy (eV per atom) = -2.38
- formation enthalpy at 0 K (eV per atom) = 0.4856
- magnetic moment (μB per formula unit) = 0.0
- N(E_F) (states/eV/cell) = 1.44
- V (Å³ per atom) = 14.591



Computed, not measured: a geometry-optimized BeZn3In structure at the PBE-GGA level of DFT.

```
5
Lattice="5.157 0.000 0.000 0.000 5.157 0.000 0.000 0.000 5.157" Properties=species:S:1:pos:R:3 pbc="T T T"
Be 0.000 0.000 0.000
Zn 0.000 2.578 2.578
Zn 2.578 0.000 2.578
Zn 2.578 2.578 0.000
In 2.578 2.578 2.578
```

Output
- VASP energy (eV per atom) = -1.06
- formation enthalpy at 0 K (eV per atom) = 0.9984
- magnetic moment (μB per formula unit) = 0.0
- N(E_F) (states/eV/cell) = 2.38
- V (Å³ per atom) = 27.422



Computed, not measured: a geometry-optimized Be2ZnIn structure at the PBE-GGA level of DFT.

```
4
Lattice="2.556 -3.543 0.000 2.556 3.543 0.000 0.000 0.000 3.238" Properties=species:S:1:pos:R:3 pbc="T T T"
Be 1.278 1.772 0.000
Be 1.278 -1.772 0.000
Zn 0.000 0.000 1.619
In 2.556 0.000 1.619
```

Output
- VASP energy (eV per atom) = -2.37
- formation enthalpy at 0 K (eV per atom) = 0.4964
- magnetic moment (μB per formula unit) = 0.0
- N(E_F) (states/eV/cell) = 0.86
- V (Å³ per atom) = 14.665